1.
First-principles (PBE) data for an optimized crystal structure of Ac2DyMg3, as listed in Alexandria.

POSCAR file:
```
Ac2DyMg3
1.0
3.9951 0.0000 0.0000
0.0000 3.9951 0.0000
0.0000 0.0000 12.0882
Mg Dy Ac
3 1 2
direct
0.0000 0.0000 0.0000
0.0000 0.0000 0.3579
0.0000 0.0000 0.6421
0.5000 0.5000 0.5000
0.5000 0.5000 0.8225
0.5000 0.5000 0.1775
```

Summary:
Crystal system = tetragonal
Formation enthalpy at 0 K = -0.0673 eV/atom
Space group = P4/mmm
Final energy = -3.001 eV/atom

---

2.
First-principles (PBE) data for an optimized crystal structure of AcDy3Mg8, as listed in Alexandria.

POSCAR file:
```
AcDy3Mg8
1.0
6.1341 0.0000 0.0000
-3.0670 5.3123 0.0000
0.0000 0.0000 9.9221
Mg Dy Ac
8 3 1
direct
0.5044 0.4956 0.7560
0.1639 0.3278 0.2451
0.1639 0.8361 0.2451
0.6722 0.8361 0.2451
0.9913 0.4956 0.7560
0.3333 0.6667 0.9998
0.5044 0.0087 0.7560
0.3333 0.6667 0.4988
0.6667 0.3333 0.0607
0.6667 0.3333 0.4255
0.0000 0.0000 0.9460
0.0000 0.0000 0.5660
```

Summary:
Crystal system = trigonal
Formation enthalpy at 0 K = -0.0728 eV/atom
Space group = P3m1
Final energy = -2.629 eV/atom

---

3.
First-principles (PBE) data for an optimized crystal structure of Ac2DyMgO6, as listed in Alexandria.

POSCAR file:
```
Ac2DyMgO6
1.0
-1.4968 5.6899 0.5022
-2.9125 -0.2989 -5.2941
-7.0261 -2.3082 3.9957
O Dy Mg Ac
12 2 2 4
direct
0.8046 0.7911 0.9444
0.6954 0.2911 0.5556
0.7106 0.3015 0.9444
0.8968 0.5414 0.2422
0.7894 0.8015 0.5556
0.2106 0.1985 0.4444
0.3968 0.9586 0.7422
0.1032 0.4586 0.7578
0.3046 0.7089 0.4444
0.1954 0.2089 0.0556
0.6032 0.0414 0.2578
0.2894 0.6985 0.0556
0.5000 0.0000 0.0000
0.0000 0.5000 0.5000
0.0000 0.5000 0.0000
0.5000 0.0000 0.5000
0.0149 0.9513 0.2491
0.4851 0.4513 0.2509
0.5149 0.5487 0.7491
0.9851 0.0487 0.7509
```

Summary:
Crystal system = monoclinic
Formation energy (no corrections) = -2900.7 kJ/mol of formula units
Space group = P2_1/c
Final energy = -7.423 eV/atom

---

4.
First-principles (PBE) data for an optimized crystal structure of AcDyMgOs, as listed in Alexandria.

POSCAR file:
```
AcDyMgOs
1.0
5.2231 0.0000 0.0000
2.6115 4.5233 0.0000
2.6115 1.5078 4.2646
Dy Mg Ac Os
1 1 1 1
direct
0.5000 0.5000 0.5000
0.2500 0.2500 0.2500
0.0000 0.0000 0.0000
0.7500 0.7500 0.7500
```

Summary:
Crystal system = cubic
Formation enthalpy at 0 K = 0.0842 eV/atom
Space group = F-43m
Final energy = -5.299 eV/atom

---

5.
First-principles (PBE) data for an optimized crystal structure of AcDyMgPb2, as listed in Alexandria.

POSCAR file:
```
AcDyMgPb2
1.0
6.5394 0.0000 0.0000
0.0000 6.7248 0.0000
0.0000 -3.3624 7.4719
Ac Mg Pb Dy
2 2 4 2
direct
0.2311 0.7500 0.5000
0.7689 0.2500 0.5000
0.0000 0.0000 0.0000
0.0000 0.5000 0.0000
0.7266 0.6479 0.2958
0.2734 0.3521 0.7042
0.7266 0.8521 0.7042
0.2734 0.1479 0.2958
0.5000 0.7500 0.0000
0.5000 0.2500 0.0000
```

Summary:
Crystal system = orthorhombic
Formation enthalpy at 0 K = -0.2574 eV/atom
Space group = Cmme
Final energy = -3.802 eV/atom

---

6.
First-principles (PBE) data for an optimized crystal structure of AcDyMgPb, as listed in Alexandria.

POSCAR file:
```
AcDyMgPb
1.0
5.6141 0.0000 0.0000
2.8071 4.8620 0.0000
2.8071 1.6207 4.5839
Dy Pb Mg Ac
1 1 1 1
direct
0.2500 0.2500 0.2500
0.5000 0.5000 0.5000
0.0000 0.0000 0.0000
0.7500 0.7500 0.7500
```

Summary:
Crystal system = cubic
Formation enthalpy at 0 K = -0.2427 eV/atom
Space group = F-43m
Final energy = -3.746 eV/atom

---

7.
First-principles (PBE) data for an optimized crystal structure of AcDyMgPd, as listed in Alexandria.

POSCAR file:
```
AcDyMgPd
1.0
5.3774 0.0000 0.0000
2.6887 4.6570 0.0000
2.6887 1.5523 4.3906
Mg Dy Ac Pd
1 1 1 1
direct
0.7500 0.7500 0.7500
0.0000 0.0000 0.0000
0.5000 0.5000 0.5000
0.2500 0.2500 0.2500
```

Summary:
Crystal system = cubic
Formation enthalpy at 0 K = -0.3004 eV/atom
Space group = F-43m
Final energy = -4.175 eV/atom

---

8.
First-principles (PBE) data for an optimized crystal structure of AcPmDyMg, as listed in Alexandria.

POSCAR file:
```
AcPmDyMg
1.0
3.8316 0.0000 0.0000
0.0000 3.8316 0.0000
0.0000 0.0000 9.0336
Mg Pm Dy Ac
1 1 1 1
direct
0.0000 0.0000 0.5649
0.5000 0.5000 0.7825
0.5000 0.5000 0.3610
0.0000 0.0000 0.0763
```

Summary:
Crystal system = tetragonal
Formation enthalpy at 0 K = -0.0170 eV/atom
Space group = P4mm
Energy above the most stable polymorph in this dataset = 0.0 meV/atom
Final energy = -3.781 eV/atom

---

9.
First-principles (PBE) data for an optimized crystal structure of AcPmDyMg, as listed in Alexandria.

POSCAR file:
```
AcPmDyMg
1.0
-5.5972 1.0331 0.7249
-2.5346 -1.2944 4.9822
-1.7106 4.1932 3.5231
Ac Dy Mg Pm
1 1 1 1
direct
0.5000 0.5000 0.5000
0.2500 0.2500 0.2500
0.0000 0.0000 0.0000
0.7500 0.7500 0.7500
```

Summary:
Crystal system = cubic
Formation enthalpy at 0 K = 0.1237 eV/atom
Space group = F-43m
Energy above the most stable polymorph in this dataset = 140.7 meV/atom
Final energy = -3.640 eV/atom

---

10.
First-principles (PBE) data for an optimized crystal structure of AcDyMgPt, as listed in Alexandria.

POSCAR file:
```
AcDyMgPt
1.0
-3.3076 2.4903 -3.3576
-2.9947 -2.8311 -3.3812
-5.2712 -0.3132 0.7290
Ac Pt Dy Mg
1 1 1 1
direct
0.0000 0.0000 0.0000
0.7500 0.7500 0.7500
0.5000 0.5000 0.5000
0.2500 0.2500 0.2500
```

Summary:
Crystal system = cubic
Formation enthalpy at 0 K = -0.4562 eV/atom
Space group = F-43m
Final energy = -4.543 eV/atom

---

11.
First-principles (PBE) data for an optimized crystal structure of AcDyPuMg, as listed in Alexandria.

POSCAR file:
```
AcDyPuMg
1.0
5.6612 0.0000 0.0000
2.8306 4.9028 0.0000
2.8306 1.6343 4.6224
Pu Mg Dy Ac
1 1 1 1
direct
0.5000 0.5000 0.5000
0.0000 0.0000 0.0000
0.7500 0.7500 0.7500
0.2500 0.2500 0.2500
```

Summary:
Crystal system = cubic
Formation enthalpy at 0 K = 0.1937 eV/atom
Space group = F-43m
Final energy = -5.966 eV/atom

---

12.
First-principles (PBE) data for an optimized crystal structure of AcDyMgRh, as listed in Alexandria.

POSCAR file:
```
AcDyMgRh
1.0
-4.9013 1.9724 0.2191
-4.0025 -3.0404 1.6422
-2.2717 0.9228 4.6850
Ac Rh Mg Dy
1 1 1 1
direct
0.7500 0.7500 0.7500
0.0000 0.0000 0.0000
0.5000 0.5000 0.5000
0.2500 0.2500 0.2500
```

Summary:
Crystal system = cubic
Formation enthalpy at 0 K = -0.2587 eV/atom
Space group = F-43m
Final energy = -4.673 eV/atom

---

13.
First-principles (PBE) data for an optimized crystal structure of Ac2DyMgS6, as listed in Alexandria.

POSCAR file:
```
Ac2DyMgS6
1.0
-0.1199 6.3976 -1.9794
-2.4105 -2.1520 -6.8094
-9.3790 0.5232 3.1547
Mg S Dy Ac
2 12 2 4
direct
0.0000 0.5000 0.0000
0.5000 0.0000 0.5000
0.1716 0.1904 0.0563
0.8180 0.8147 0.5557
0.1820 0.1853 0.4443
0.3863 0.9684 0.7411
0.6137 0.0316 0.2589
0.6820 0.3147 0.9443
0.8284 0.8096 0.9437
0.6716 0.3096 0.5563
0.1137 0.4684 0.7589
0.8863 0.5316 0.2411
0.3180 0.6853 0.0557
0.3284 0.6904 0.4437
0.0000 0.5000 0.5000
0.5000 0.0000 0.0000
0.4643 0.4039 0.2522
0.5357 0.5961 0.7478
0.0357 0.9039 0.2478
0.9643 0.0961 0.7522
```

Summary:
Crystal system = monoclinic
Formation energy (no corrections) = -1749.7 kJ/mol of formula units
Space group = P2_1/c
Final energy = -5.731 eV/atom

---

14.
First-principles (PBE) data for an optimized crystal structure of AcDyMgSc, as listed in Alexandria.

POSCAR file:
```
AcDyMgSc
1.0
5.5895 0.0000 0.0000
2.7947 4.8406 0.0000
2.7947 1.6135 4.5638
Ac Dy Mg Sc
1 1 1 1
direct
0.7500 0.7500 0.7500
0.2500 0.2500 0.2500
0.0000 0.0000 0.0000
0.5000 0.5000 0.5000
```

Summary:
Crystal system = cubic
Formation enthalpy at 0 K = 0.0599 eV/atom
Space group = F-43m
Final energy = -4.099 eV/atom

---

15.
First-principles (PBE) data for an optimized crystal structure of Ac2DyMgSe5, as listed in Alexandria.

POSCAR file:
```
Ac2DyMgSe5
1.0
4.2469 0.0000 0.0000
-2.1235 9.0126 0.0000
0.0000 0.0000 12.9337
Se Dy Ac Mg
10 2 4 2
direct
0.3152 0.6305 0.3612
0.5067 0.0134 0.2726
0.7127 0.4254 0.1648
0.6387 0.2774 0.5014
0.3613 0.7226 0.0014
0.4933 0.9866 0.7726
0.0480 0.0961 0.0604
0.2873 0.5746 0.6648
0.9520 0.9039 0.5604
0.6848 0.3695 0.8612
0.7969 0.5938 0.5136
0.2031 0.4062 0.0136
0.8647 0.7294 0.8094
0.1134 0.2268 0.6866
0.1353 0.2706 0.3094
0.8866 0.7732 0.1866
0.4564 0.9129 0.4538
0.5436 0.0871 0.9538
```

Summary:
Crystal system = orthorhombic
Formation energy (no corrections) = -1557.7 kJ/mol of formula units
Space group = Cmc2_1
Final energy = -5.331 eV/atom

---

16.
First-principles (PBE) data for an optimized crystal structure of Ac2DyMgSe6, as listed in Alexandria.

POSCAR file:
```
Ac2DyMgSe6
1.0
6.8856 0.0000 -0.1250
0.0000 7.9311 0.0000
-0.1092 0.0000 10.3672
Dy Se Ac Mg
2 12 4 2
direct
0.5000 0.0000 0.0000
0.0000 0.5000 0.5000
0.3366 0.6864 0.4431
0.1719 0.1817 0.4431
0.6634 0.3136 0.5569
0.3804 0.9691 0.7412
0.8281 0.8183 0.5569
0.8366 0.8136 0.9431
0.6719 0.3183 0.9431
0.6196 0.0309 0.2588
0.1634 0.1864 0.0569
0.1196 0.4691 0.7588
0.3281 0.6817 0.0569
0.8804 0.5309 0.2412
0.5448 0.6051 0.7472
0.4552 0.3949 0.2528
0.0448 0.8949 0.2472
0.9552 0.1051 0.7528
0.5000 0.0000 0.5000
0.0000 0.5000 0.0000
```

Summary:
Crystal system = monoclinic
Formation energy (no corrections) = -1620.5 kJ/mol of formula units
Space group = P2_1/c
Final energy = -5.212 eV/atom

---

17.
First-principles (PBE) data for an optimized crystal structure of Ac3Dy3MgSe8, as listed in Alexandria.

POSCAR file:
```
Ac3Dy3MgSe8
1.0
8.3503 0.0000 0.0000
-4.1752 7.2318 -0.0253
0.0000 -4.7955 7.1488
Se Mg Ac Dy
8 1 3 3
direct
0.2373 0.9825 0.7198
0.2594 0.5188 0.2782
0.2549 0.0175 0.2802
0.7406 0.4812 0.7218
0.7451 0.9825 0.7198
0.7627 0.5254 0.2802
0.2373 0.4746 0.7198
0.7627 0.0175 0.2802
0.0000 0.0000 0.5000
0.0000 0.5000 0.0000
0.0000 0.0000 0.0000
0.5000 0.5000 0.0000
0.5000 0.5000 0.5000
0.0000 0.5000 0.5000
0.5000 0.0000 0.5000
```

Summary:
Crystal system = trigonal
Formation energy (no corrections) = -2569.1 kJ/mol of formula units
Space group = R-3m
Final energy = -5.482 eV/atom

---

18.
First-principles (PBE) data for an optimized crystal structure of AcSmDyMg, as listed in Alexandria.

POSCAR file:
```
AcSmDyMg
1.0
-4.5366 -3.4184 -0.7365
-0.6685 -2.8511 -4.9227
0.6892 -5.6847 -0.1335
Ac Dy Mg Sm
1 1 1 1
direct
0.5000 0.5000 0.5000
0.2500 0.2500 0.2500
0.0000 0.0000 0.0000
0.7500 0.7500 0.7500
```

Summary:
Crystal system = cubic
Formation enthalpy at 0 K = 0.1284 eV/atom
Space group = F-43m
Energy above the most stable polymorph in this dataset = 142.4 meV/atom
Final energy = -3.628 eV/atom

---

19.
First-principles (PBE) data for an optimized crystal structure of AcSmDyMg, as listed in Alexandria.

POSCAR file:
```
AcSmDyMg
1.0
3.8257 0.0000 0.0000
0.0000 3.8257 0.0000
0.0000 0.0000 9.0215
Ac Dy Sm Mg
1 1 1 1
direct
0.0000 0.0000 0.0752
0.5000 0.5000 0.3615
0.5000 0.5000 0.7818
0.0000 0.0000 0.5662
```

Summary:
Crystal system = tetragonal
Formation enthalpy at 0 K = -0.0140 eV/atom
Space group = P4mm
Energy above the most stable polymorph in this dataset = 0.0 meV/atom
Final energy = -3.770 eV/atom

---

20.
First-principles (PBE) data for an optimized crystal structure of Ac3Dy2Mg2Tl4, as listed in Alexandria.

POSCAR file:
```
Ac3Dy2Mg2Tl4
1.0
5.1717 0.0000 0.0000
-2.5859 4.4788 0.0000
0.0000 0.0000 15.8086
Ac Tl Dy Mg
3 4 2 2
direct
0.0000 0.0000 0.7388
0.0000 0.0000 0.2612
0.0000 0.0000 0.0000
0.3333 0.6667 0.3690
0.3333 0.6667 0.8753
0.6667 0.3333 0.6310
0.6667 0.3333 0.1247
0.3333 0.6667 0.5676
0.6667 0.3333 0.4324
0.3333 0.6667 0.1311
0.6667 0.3333 0.8689
```

Summary:
Crystal system = trigonal
Formation enthalpy at 0 K = -0.2061 eV/atom
Space group = P-3m1
Final energy = -3.314 eV/atom